# 1
# GGA-PBE Sm2HoTmBi5, relaxed
data_Sm2HoTmBi5
_chemical_formula_sum 'Sm2 Ho1 Tm1 Bi5'
_cell_length_a 5.417
_cell_length_b 5.417
_cell_length_c 11.817
_cell_angle_alpha 90.00
_cell_angle_beta 90.00
_cell_angle_gamma 90.00
_symmetry_space_group_name_H-M 'P 4/m m m'
_symmetry_Int_Tables_number 123
_symmetry_space_group_name_Hall '-P 4 2'
loop_
_atom_site_label
_atom_site_type_symbol
_atom_site_fract_x
_atom_site_fract_y
_atom_site_fract_z
Sm1 Sm 0.000 0.000 0.225
Ho1 Ho 0.500 0.500 0.000
Tm1 Tm 0.500 0.500 0.500
Bi1 Bi 0.000 0.000 0.500
Bi2 Bi 0.000 0.500 0.000
Bi3 Bi 0.500 0.500 0.255
# N(E_F) = 0.64 states/eV per atom

# 2
# GGA-PBE Sm3Ho2TmBi6, relaxed
data_Sm3Ho2TmBi6
_chemical_formula_sum 'Sm6 Ho4 Tm2 Bi12'
_cell_length_a 19.627
_cell_length_b 4.506
_cell_length_c 9.008
_cell_angle_alpha 90.00
_cell_angle_beta 103.15
_cell_angle_gamma 90.00
_symmetry_space_group_name_H-M 'C 1 2/m 1'
_symmetry_Int_Tables_number 12
loop_
_symmetry_equiv_pos_as_xyz
'x,y,z'
'-x,-y,-z'
'-x,y,-z'
'x,-y,z'
'x+1/2,y+1/2,z'
'-x+1/2,-y+1/2,-z'
'-x+1/2,y+1/2,-z'
'x+1/2,-y+1/2,z'
loop_
_atom_site_label
_atom_site_type_symbol
_atom_site_fract_x
_atom_site_fract_y
_atom_site_fract_z
Sm1 Sm 0.000 0.000 0.000
Sm2 Sm 0.167 0.500 0.333
Ho1 Ho 0.167 0.500 0.833
Tm1 Tm 0.000 0.000 0.500
Bi1 Bi 0.001 0.500 0.745
Bi2 Bi 0.165 0.000 0.587
Bi3 Bi 0.168 0.000 0.080
# N(E_F) = 0.17 states/eV per atom

# 3
# GGA-PBE SmHoTm2Bi4, relaxed
data_SmHoTm2Bi4
_chemical_formula_sum 'Sm1 Ho1 Tm2 Bi4'
_cell_length_a 7.743
_cell_length_b 4.476
_cell_length_c 7.746
_cell_angle_alpha 90.00
_cell_angle_beta 109.48
_cell_angle_gamma 90.00
_symmetry_space_group_name_H-M 'P 1 2/m 1'
_symmetry_Int_Tables_number 10
loop_
_symmetry_equiv_pos_as_xyz
'x,y,z'
'-x,-y,-z'
'-x,y,-z'
'x,-y,z'
loop_
_atom_site_label
_atom_site_type_symbol
_atom_site_fract_x
_atom_site_fract_y
_atom_site_fract_z
Sm1 Sm 0.000 0.000 0.000
Ho1 Ho 0.000 0.500 0.500
Tm1 Tm 0.500 0.000 0.500
Tm2 Tm 0.500 0.500 0.000
Bi1 Bi 0.254 0.000 0.749
Bi2 Bi 0.257 0.500 0.255
# N(E_F) = 0.16 states/eV per atom

# 4
# GGA-PBE Sm3Y2HoBi6, relaxed
data_Sm3Y2HoBi6
_chemical_formula_sum 'Sm6 Y4 Ho2 Bi12'
_cell_length_a 19.681
_cell_length_b 4.519
_cell_length_c 9.032
_cell_angle_alpha 90.00
_cell_angle_beta 103.16
_cell_angle_gamma 90.00
_symmetry_space_group_name_H-M 'C 1 2/m 1'
_symmetry_Int_Tables_number 12
loop_
_symmetry_equiv_pos_as_xyz
'x,y,z'
'-x,-y,-z'
'-x,y,-z'
'x,-y,z'
'x+1/2,y+1/2,z'
'-x+1/2,-y+1/2,-z'
'-x+1/2,y+1/2,-z'
'x+1/2,-y+1/2,z'
loop_
_atom_site_label
_atom_site_type_symbol
_atom_site_fract_x
_atom_site_fract_y
_atom_site_fract_z
Sm1 Sm 0.000 0.000 0.000
Sm2 Sm 0.167 0.500 0.333
Y1 Y 0.166 0.500 0.833
Ho1 Ho 0.000 0.000 0.500
Bi1 Bi 0.001 0.500 0.746
Bi2 Bi 0.165 0.000 0.585
Bi3 Bi 0.168 0.000 0.080
# N(E_F) = 0.17 states/eV per atom

no.,formation enthalpy at 0 K (eV/atom)
1,-0.057
2,-0.871
3,-0.828
4,-0.901